# 1
VASP calculation (PBE) on Ba3MgSn after structural relaxation.

Unit cell a=6.7386 b=6.7386 c=6.7386 alpha=90.00 beta=90.00 gamma=90.00
With the nearest neighbours (Å) after each atom.
Fractional positions:
1 Ba 0.0000 0.0000 0.5000  2 Sn 3.37
2 Ba 0.0000 0.5000 0.0000  2 Sn 3.37
3 Ba 0.5000 0.0000 0.0000  2 Sn 3.37
4 Mg 0.5000 0.5000 0.5000  12 Ba 4.76
5 Sn 0.0000 0.0000 0.0000  6 Ba 3.37

Crystal system = cubic
Size of the total moment = 0.39 μB per formula unit
E above lowest polymorph = 1.51 eV/f.u.
VASP energy = -2.30 eV/atom

# 2
VASP calculation (PBE) on LaIr2 after structural relaxation.

Unit cell a=7.9358 b=7.9358 c=7.9358 alpha=148.30 beta=148.30 gamma=45.44
With the nearest neighbours (Å) after each atom.
Fractional positions:
1 La 0.3750 0.6250 0.7500  12 Ir 3.25-3.31
2 La 0.6250 0.3750 0.2500  12 Ir 3.25-3.31
3 Ir 0.0404 0.7904 0.2500  3 Ir 2.47-2.48
4 Ir 0.2096 0.9596 0.2500  3 Ir 2.47-2.48
5 Ir 0.7904 0.0404 0.7500  3 Ir 2.47-2.48
6 Ir 0.9596 0.2096 0.7500  3 Ir 2.47-2.48

Crystal system = tetragonal
Size of the total moment = 0.00 μB per formula unit
VASP energy = -8.13 eV/atom

# 3
VASP calculation (PBE) on Zn4Ni5Ir after structural relaxation.

Unit cell a=2.6833 b=2.6833 c=17.0048 alpha=90.00 beta=90.00 gamma=90.00
With the nearest neighbours (Å) after each atom.
Fractional positions:
1 Zn 0.0000 0.0000 0.0982  8 Ni 2.53, 4 Zn 2.68
2 Zn 0.0000 0.0000 0.2951  8 Ni 2.53-2.56, 4 Zn 2.68
3 Zn 0.0000 0.0000 0.7049  8 Ni 2.53-2.56, 4 Zn 2.68
4 Zn 0.0000 0.0000 0.9018  8 Ni 2.53, 4 Zn 2.68
5 Ni 0.5000 0.5000 0.0000  8 Zn 2.53, 4 Ni 2.68
6 Ni 0.5000 0.5000 0.1965  8 Zn 2.53, 4 Ni 2.68
7 Ni 0.5000 0.5000 0.3960  4 Zn 2.56, 4 Ir 2.59, 4 Ni 2.68
8 Ni 0.5000 0.5000 0.6040  4 Zn 2.56, 4 Ir 2.59, 4 Ni 2.68
9 Ni 0.5000 0.5000 0.8035  8 Zn 2.53, 4 Ni 2.68
10 Ir 0.0000 0.0000 0.5000  8 Ni 2.59, 4 Ir 2.68

Crystal system = tetragonal
Size of the total moment = 0.00 μB per formula unit
VASP energy = -4.47 eV/atom

> Among the records above, which one has the highest VASP energy?

Ba3MgSn